PBE Sr5Pb6, optimized geometry; DOS at the Fermi energy = 5.62 states/eV per cell; theoretical density = 7.1 g/cm³; final energy = -3.187 eV per atom
1.0
9.1274 -3.9048 0.0000
9.1274 3.9048 0.0000
-1.7952 0.0000 5.5210
Sr Pb
5 6
Direct
0.0000 0.0000 0.0000 Sr
0.1615 0.1615 0.6638 Sr
0.3170 0.3170 0.3124 Sr
0.6830 0.6830 0.6876 Sr
0.8385 0.8385 0.3362 Sr
0.1290 0.5714 0.8445 Pb
0.2940 0.7060 0.5000 Pb
0.4286 0.8710 0.1555 Pb
0.5714 0.1290 0.8445 Pb
0.7060 0.2940 0.5000 Pb
0.8710 0.4286 0.1555 Pb

PBE Al2FeBr, optimized geometry; energy above the lowest structure with this stoichiometry = 0.1642 eV/atom; DOS at the Fermi energy = 1.70 states/eV per cell; theoretical density = 3.9 g/cm³; final energy = -4.319 eV per atom; E_form (uncorrected) = 86 meV/atom
1.0
-1.5300 1.6492 8.0906
1.5300 -1.6492 8.0906
1.5300 1.6492 -8.0906
Al Fe Br
2 1 1
Direct
0.0000 0.0000 0.0000 Al
0.6647 0.1647 0.5000 Al
0.5515 0.5515 0.0000 Fe
0.2719 0.7719 0.5000 Br

PBE KRe2Ru, optimized geometry; energy above the lowest structure with this stoichiometry = 0.1048 eV/atom; DOS at the Fermi energy = 2.97 states/eV per cell; theoretical density = 10.1 g/cm³; final energy = -8.008 eV per atom
1.0
2.7121 0.0000 0.0000
0.0000 3.8028 0.0000
0.0000 0.0000 8.1359
K Re Ru
1 2 1
Direct
0.0000 0.0000 0.0000 K
0.0000 0.0000 0.5118 Re
0.5000 0.5000 0.3489 Re
0.5000 0.5000 0.6671 Ru